The following is a DFT calculation (GGA-PBE) of Mg2BF after structural relaxation.

Values from the calculation:
- Volume: 53.6 Å³/f.u.
- E_form (uncorrected): -0.307 eV per atom
- Excess energy over the best structure of this formula in the dataset: 860 meV/atom
- Electronic total energy: -3.242 eV/atom

Cell: 4.233 4.233 4.233 Å, 60.00 60.00 60.00°
Each line ends with the local moment (μB).
Element x y z (fractional)
F1 0.500 0.500 0.500  0.13
Mg1 0.750 0.750 0.750  0.04
Mg2 0.250 0.250 0.250  0.04
B1 0.000 0.000 0.000  0.48